## a
A geometry-optimized BaTaNi3 structure. Source: Alexandria, functional GGA-PBE.

a b c (Å): 4.7900 4.7900 4.7900
angles (deg): 90.00 90.00 90.00
Fractional positions:
Ba: 0.0000 0.0000 0.0000
Ta: 0.5000 0.5000 0.5000
Ni: 0.0000 0.5000 0.5000
Ni: 0.5000 0.0000 0.5000
Ni: 0.5000 0.5000 0.0000

Crystal system: cubic
DOS(E_F) (states/eV/cell): 4.05

=====

## b
A geometry-optimized BaTaNi3 structure. Source: Alexandria, functional GGA-PBE.

a b c (Å): 4.7378 4.7378 4.7378
angles (deg): 90.00 90.00 90.00
Fractional positions:
Ba: 0.0000 0.0000 0.0000
Ta: 0.5000 0.5000 0.5000
Ni: 0.0000 0.0000 0.5000
Ni: 0.0000 0.5000 0.0000
Ni: 0.5000 0.0000 0.0000

Crystal system: cubic
DOS(E_F) (states/eV/cell): 11.94

=====

Energy ordering: a at the bottom, the next structure 1.614 eV/atom above.

=====

## a
A geometry-optimized BaTc2Ni structure. Source: Alexandria, functional GGA-PBE.

a b c (Å): 10.0480 10.0480 10.0480
angles (deg): 16.78 16.78 16.78
Fractional positions:
Ba: 0.0000 0.0000 0.0000
Tc: 0.2318 0.2318 0.2318
Tc: 0.7682 0.7682 0.7682
Ni: 0.5000 0.5000 0.5000

Crystal system: trigonal
DOS(E_F) (states/eV/cell): 5.73

=====

## b
A geometry-optimized BaTc2Ni structure. Source: Alexandria, functional GGA-PBE.

a b c (Å): 3.2574 3.2574 7.6003
angles (deg): 90.00 90.00 90.00
Fractional positions:
Ba: 0.0000 0.0000 0.0000
Tc: 0.5000 0.5000 0.3502
Tc: 0.5000 0.5000 0.6498
Ni: 0.0000 0.0000 0.5000

Crystal system: tetragonal
DOS(E_F) (states/eV/cell): 6.83

=====

Energy ordering: b at the bottom, the next structure 0.421 eV/atom above.

=====

## a
A geometry-optimized BaTc2Ni structure. Source: Alexandria, functional GGA-PBE.

a b c (Å): 5.6906 5.6906 5.6906
angles (deg): 146.21 119.22 71.38
Fractional positions:
Ba: 0.0000 0.0000 0.0000
Tc: 0.4970 0.4970 0.0000
Tc: 0.6780 0.1780 0.5000
Ni: 0.3028 0.8028 0.5000

Crystal system: orthorhombic
DOS(E_F) (states/eV/cell): 2.94

=====

## b
A geometry-optimized BaTc2Ni structure. Source: Alexandria, functional GGA-PBE.

a b c (Å): 3.9074 4.3995 5.6962
angles (deg): 90.00 104.59 90.00
Fractional positions:
Ba: 0.0000 0.0000 0.0000
Tc: 0.2843 0.5000 0.6166
Tc: 0.7157 0.5000 0.3834
Ni: 0.5000 0.0000 0.5000

Crystal system: monoclinic
DOS(E_F) (states/eV/cell): 4.07

=====

Energy ordering: b at the bottom, the next structure 0.239 eV/atom above.

=====

## a
A geometry-optimized BaTc2Ni structure. Source: Alexandria, functional GGA-PBE.

a b c (Å): 3.1821 3.1821 7.7466
angles (deg): 90.00 90.00 90.00
Fractional positions:
Ba: 0.0000 0.0000 0.0000
Tc: 0.0000 0.0000 0.4911
Tc: 0.5000 0.5000 0.6524
Ni: 0.5000 0.5000 0.3144

Crystal system: tetragonal
DOS(E_F) (states/eV/cell): 5.32

=====

## b
A geometry-optimized BaTc2Ni structure. Source: Alexandria, functional GGA-PBE.

a b c (Å): 9.3678 9.3678 9.3678
angles (deg): 150.61 150.61 42.05
Fractional positions:
Ba: 0.3750 0.6250 0.7500
Ba: 0.6250 0.3750 0.2500
Tc: 0.0000 0.0000 0.0000
Tc: 0.0000 0.0000 0.5000
Tc: 0.0000 0.5000 0.0000
Tc: 0.5000 0.0000 0.5000
Ni: 0.1250 0.8750 0.2500
Ni: 0.8750 0.1250 0.7500

Crystal system: tetragonal
DOS(E_F) (states/eV/cell): 11.40

=====

## c
A geometry-optimized BaTc2Ni structure. Source: Alexandria, functional GGA-PBE.

a b c (Å): 5.8089 5.8089 2.8225
angles (deg): 90.00 90.00 126.69
Fractional positions:
Ba: 0.0000 0.0000 0.0000
Tc: 0.0000 0.5000 0.5000
Tc: 0.5000 0.0000 0.5000
Ni: 0.5000 0.5000 0.0000

Crystal system: orthorhombic
DOS(E_F) (states/eV/cell): 5.54

=====

## d
A geometry-optimized BaTc2Ni structure. Source: Alexandria, functional GGA-PBE.

a b c (Å): 4.6315 4.6315 4.6315
angles (deg): 60.00 60.00 60.00
Fractional positions:
Ba: 0.0000 0.0000 0.0000
Tc: 0.2500 0.2500 0.2500
Tc: 0.7500 0.7500 0.7500
Ni: 0.5000 0.5000 0.5000

Crystal system: cubic
DOS(E_F) (states/eV/cell): 6.03

=====

Energy ordering: a at the bottom, the next structure 0.400 eV/atom above.

=====

## a
A geometry-optimized BaTcNi3 structure. Source: Alexandria, functional GGA-PBE.

a b c (Å): 4.6812 4.6812 4.6812
angles (deg): 90.00 90.00 90.00
Fractional positions:
Ba: 0.0000 0.0000 0.0000
Tc: 0.5000 0.5000 0.5000
Ni: 0.0000 0.5000 0.5000
Ni: 0.5000 0.0000 0.5000
Ni: 0.5000 0.5000 0.0000

Crystal system: cubic
DOS(E_F) (states/eV/cell): 5.82

=====

## b
A geometry-optimized BaTcNi3 structure. Source: Alexandria, functional GGA-PBE.

a b c (Å): 4.8403 4.8403 4.8403
angles (deg): 90.00 90.00 90.00
Fractional positions:
Ba: 0.0000 0.0000 0.0000
Tc: 0.5000 0.5000 0.5000
Ni: 0.0000 0.0000 0.5000
Ni: 0.0000 0.5000 0.0000
Ni: 0.5000 0.0000 0.0000

Crystal system: cubic
DOS(E_F) (states/eV/cell): 7.14

=====

Energy ordering: a at the bottom, the next structure 1.655 eV/atom above.